Material: Sc4FeNiN2
Method: DFT, PBE
State: relaxed

POSCAR file:
```
Sc4FeNiN2
1.0
3.1473 0.0000 0.0000
-1.5737 2.7257 0.0000
0.0000 0.0000 13.3001
Sc Fe Ni N
4 1 1 2
Direct
0.0000 0.0000 0.1484
0.0000 0.0000 0.8516
0.3333 0.6667 0.3406
0.3333 0.6667 0.6594
0.0000 0.0000 0.5000
0.3333 0.6667 0.0000
0.6667 0.3333 0.2440
0.6667 0.3333 0.7560
```

Results
- Electronic total energy: -7.84 eV per atom
- Distance to the lowest polymorph of the same formula: 0.00 eV/f.u.
- Symmetry: P-6m2 (187)
- Total magnetization: 1.7 μB per formula unit

Material: Ta4FeNiN2
Method: DFT, PBE
State: relaxed

POSCAR file:
```
Ta4FeNiN2
1.0
3.0578 0.0000 0.0000
-1.5289 2.6481 0.0000
0.0000 0.0000 13.0553
Ta Fe Ni N
4 1 1 2
Direct
0.0000 0.0000 0.1526
0.0000 0.0000 0.8474
0.3333 0.6667 0.3458
0.3333 0.6667 0.6542
0.3333 0.6667 0.0000
0.0000 0.0000 0.5000
0.6667 0.3333 0.2488
0.6667 0.3333 0.7512
```

Results
- Electronic total energy: -10.21 eV per atom
- Symmetry: P-6m2 (187)
- Total magnetization: 1.4 μB per formula unit

Material: FeNiW4N2
Method: DFT, PBE
State: relaxed

POSCAR file:
```
FeNiW4N2
1.0
2.8036 0.0000 0.0000
-1.4018 2.4280 0.0000
0.0000 0.0000 14.3916
Fe Ni W N
1 1 4 2
Direct
0.0000 0.0000 0.0000
0.6667 0.3333 0.5000
0.0000 0.0000 0.3507
0.0000 0.0000 0.6493
0.6667 0.3333 0.1481
0.6667 0.3333 0.8519
0.3333 0.6667 0.2492
0.3333 0.6667 0.7508
```

Results
- Electronic total energy: -10.14 eV per atom
- Symmetry: P-6m2 (187)
- Total magnetization: 1.8 μB per formula unit

Material: Sr2FeOsN6
Method: DFT, PBE
State: relaxed

POSCAR file:
```
Sr2FeOsN6
1.0
5.4673 0.0000 0.0000
2.7326 4.7358 0.0000
2.7331 1.5778 4.4680
Sr Fe Os N
2 1 1 6
Direct
0.2503 0.2501 0.2493
0.7497 0.7499 0.7507
0.0000 0.0000 0.0000
0.5000 0.5000 0.5000
0.2472 0.7510 0.7535
0.2471 0.7529 0.2481
0.2485 0.2468 0.7512
0.7515 0.7532 0.2488
0.7529 0.2471 0.7519
0.7528 0.2490 0.2465
```

Results
- Electronic total energy: -7.07 eV per atom
- Symmetry: P-1 (2)
- Total magnetization: 0.3 μB per formula unit

Material: Sc4FePN2
Method: DFT, PBE
State: relaxed

POSCAR file:
```
Sc4FePN2
1.0
3.2127 0.0000 0.0000
-1.6063 2.7822 0.0000
0.0000 0.0000 12.9526
Sc Fe P N
4 1 1 2
Direct
0.0000 0.0000 0.1472
0.0000 0.0000 0.8528
0.3333 0.6667 0.3424
0.3333 0.6667 0.6576
0.0000 0.0000 0.5000
0.3333 0.6667 0.0000
0.6667 0.3333 0.2399
0.6667 0.3333 0.7601
```

Results
- Electronic total energy: -8.06 eV per atom
- Distance to the lowest polymorph of the same formula: 0.00 eV/f.u.
- Symmetry: P-6m2 (187)
- Total magnetization: 1.3 μB per formula unit

Material: Zr4FePN2
Method: DFT, PBE
State: relaxed

POSCAR file:
```
Zr4FePN2
1.0
3.3115 0.0000 0.0000
-1.6557 2.8678 0.0000
0.0000 0.0000 12.7044
Zr Fe P N
4 1 1 2
Direct
0.0000 0.0000 0.1427
0.0000 0.0000 0.8572
0.3333 0.6667 0.3483
0.3333 0.6667 0.6517
0.0000 0.0000 0.5000
0.3333 0.6667 0.0000
0.6667 0.3333 0.2453
0.6667 0.3333 0.7547
```

Results
- Electronic total energy: -9.13 eV per atom
- Symmetry: P-6m2 (187)
- Total magnetization: 1.0 μB per formula unit

Material: FePb2N2
Method: DFT, PBE
State: relaxed

POSCAR file:
```
FePb2N2
1.0
5.4684 -2.7002 0.0000
5.4684 2.7002 0.0000
-4.1716 0.0000 5.9227
Fe Pb N
2 4 4
Direct
0.1226 0.1226 0.1657
0.8774 0.8774 0.8343
0.1891 0.1891 0.6295
0.4562 0.4562 0.2155
0.5438 0.5438 0.7845
0.8109 0.8109 0.3705
0.0589 0.0589 0.8775
0.3188 0.3188 0.3901
0.6812 0.6812 0.6099
0.9411 0.9411 0.1225
```

Results
- Electronic total energy: -6.03 eV per atom
- Symmetry: C2/m (12)
- Total magnetization: 1.4 μB per formula unit

Material: Sc4FePbN2
Method: DFT, PBE
State: relaxed

POSCAR file:
```
Sc4FePbN2
1.0
3.2540 0.0000 0.0000
-1.6270 2.8180 0.0000
0.0000 0.0000 13.9002
Sc Fe Pb N
4 1 1 2
Direct
0.0000 0.0000 0.1381
0.0000 0.0000 0.8619
0.6667 0.3333 0.3165
0.6667 0.3333 0.6835
0.6667 0.3333 0.0000
0.0000 0.0000 0.5000
0.3333 0.6667 0.2398
0.3333 0.6667 0.7602
```

Results
- Electronic total energy: -7.70 eV per atom
- Symmetry: P-6m2 (187)
- Total magnetization: 0.6 μB per formula unit

Material: Y4FePbN2
Method: DFT, PBE
State: relaxed

POSCAR file:
```
Y4FePbN2
1.0
3.5034 0.0000 0.0000
-1.7517 3.0340 0.0000
0.0000 0.0000 14.7986
Y Fe Pb N
4 1 1 2
Direct
0.0000 0.0000 0.1321
0.0000 0.0000 0.8679
0.6667 0.3333 0.3199
0.6667 0.3333 0.6801
0.6667 0.3333 0.0000
0.0000 0.0000 0.5000
0.3333 0.6667 0.2409
0.3333 0.6667 0.7591
```

Results
- Electronic total energy: -7.61 eV per atom
- Symmetry: P-6m2 (187)
- Total magnetization: 1.2 μB per formula unit

Material: Y4FePbN2
Method: DFT, PBE
State: relaxed

POSCAR file:
```
Y4FePbN2
1.0
3.5030 0.0000 0.0000
-1.7515 3.0337 0.0000
0.0000 0.0000 14.7677
Y Fe Pb N
4 1 1 2
Direct
0.0000 0.0000 0.1330
0.0000 0.0000 0.8670
0.3333 0.6667 0.3200
0.3333 0.6667 0.6800
0.3333 0.6667 0.0000
0.0000 0.0000 0.5000
0.6667 0.3333 0.2403
0.6667 0.3333 0.7597
```

Results
- Electronic total energy: -7.61 eV per atom
- Symmetry: P-6m2 (187)
- Total magnetization: 0.8 μB per formula unit

Material: FePt3N6
Method: DFT, PBE
State: relaxed

POSCAR file:
```
FePt3N6
1.0
3.5247 -5.1592 0.0000
3.5247 5.1592 0.0000
0.0000 0.0000 3.0882
Fe Pt N
1 3 6
Direct
0.0000 0.0000 0.0000
0.0000 0.5000 0.5000
0.5000 0.0000 0.5000
0.5000 0.5000 0.0000
0.1292 0.8708 0.5000
0.1758 0.4468 0.0000
0.4468 0.1758 0.0000
0.5532 0.8242 0.0000
0.8242 0.5532 0.0000
0.8708 0.1292 0.5000
```

Results
- Electronic total energy: -6.65 eV per atom
- Symmetry: Cmmm (65)
- Total magnetization: 1.9 μB per formula unit